A plane-wave DFT calculation with GGA+U was carried out for a geometry-optimized RbMg2FeF structure.

Cell: 6.5204 4.7701 6.5204 Å, 90.00 90.00 90.00°
Each line ends with the local moment (μB).
Fractional coordinates of all 5 atoms:
Mg  0.0000  0.0000  0.5000  0.01
Mg  0.5000  0.0000  0.0000  0.02
Fe  0.5000  0.5000  0.5000  3.31
Rb  0.0000  0.0000  0.0000  0.00
F  0.0000  0.5000  0.0000  0.00

## Properties
Calculated density ... 1.71 g cm⁻³
Calculated total energy ... -1.938 eV/atom